The following is a DFT calculation (PBE+U) of a geometry-optimized PaMnHg2O8 structure.

Unit cell a=6.0989 b=6.0989 c=6.0989 alpha=115.02 beta=115.02 gamma=98.87
Element x y z (fractional)
Pa (0.0000, 0.0000, 0.0000)
Mn (0.2500, 0.7500, 0.5000)
Hg (0.5000, 0.5000, 0.0000)
Hg (0.7500, 0.2500, 0.5000)
O (0.2707, 0.0728, 0.8020)
O (0.2707, 0.4687, 0.1980)
O (0.3380, 0.0260, 0.3120)
O (0.5313, 0.7293, 0.8020)
O (0.7140, 0.0260, 0.6880)
O (0.9272, 0.7293, 0.1980)
O (0.9740, 0.2860, 0.3120)
O (0.9740, 0.6620, 0.6880)

Properties
- Energy: -5.78 eV/atom